Record 1
Below is a geometry-optimized Mg2Co5NiB2 structure, with properties calculated at the PBE level.

Calculated values
calculated formation energy = -146 meV/atom
symmetry = P4/mbm
calculated total energy = -59.32 eV/f.u.

```
Mg2Co5NiB2
1.0
2.763 0.000 0.000
0.000 8.797 0.000
0.000 0.000 8.797
Co Mg B Ni
10 4 4 2
Cartesian
1.381 4.398 0.000
1.381 0.600 6.867
1.381 3.799 2.468
1.381 0.000 4.398
1.381 4.998 6.328
1.381 2.468 4.998
1.381 6.328 3.799
1.381 1.930 0.600
1.381 8.197 1.930
1.381 6.867 8.197
0.000 2.841 7.240
0.000 5.956 1.557
0.000 1.557 2.841
0.000 7.240 5.956
0.000 3.314 1.085
0.000 5.483 7.712
0.000 7.712 3.314
0.000 1.085 5.483
0.000 4.398 4.398
0.000 0.000 0.000
```

Record 2
Below is a geometry-optimized SmHoTmMg structure, with properties calculated at the PBE level.

Calculated values
calculated formation energy = -24 meV/atom
symmetry = P4mm
energy relative to the lowest polymorph listed for this composition = 0.000 eV/atom
calculated total energy = -15.46 eV/f.u.

```
SmHoTmMg
1.0
3.587 0.000 0.000
0.000 3.587 0.000
0.000 0.000 9.190
Mg Sm Ho Tm
1 1 1 1
Cartesian
0.000 0.000 5.232
0.000 0.000 0.667
1.794 1.794 7.372
1.794 1.794 3.129
```

Record 3
Below is a geometry-optimized Hf2GaSe structure, with properties calculated at the PBE level.

Calculated values
formation energy without anion corrections = 0.103 eV per atom
symmetry = I-42d
energy relative to the lowest polymorph listed for this composition = 0.713 eV/atom
calculated total energy = -26.01 eV/f.u.

```
Hf2GaSe
1.0
-1.769 4.119 3.725
1.419 -3.444 4.483
5.710 2.822 4.150
Hf Ga Se
4 2 2
Cartesian
3.961 2.745 10.246
4.167 2.332 6.239
0.519 2.805 3.885
2.074 -0.887 4.345
3.477 -0.142 6.368
-0.175 0.337 4.104
1.883 3.639 5.989
0.000 0.000 0.000
```

Record 4
Below is a geometry-optimized TaNbRh2 structure, with properties calculated at the PBE level.

Calculated values
calculated formation energy = -456 meV/atom
symmetry = P4/mmm
energy relative to the lowest polymorph listed for this composition = 0.000 eV/atom
calculated total energy = -38.45 eV/f.u.

```
TaNbRh2
1.0
3.871 0.000 0.000
0.000 4.064 0.000
0.000 0.000 4.064
Nb Rh Ta
1 2 1
Cartesian
1.935 2.032 2.032
0.000 2.032 0.000
0.000 0.000 2.032
1.935 0.000 0.000
```

Record 5
Below is a geometry-optimized HoHf3Pt12 structure, with properties calculated at the PBE level.

Calculated values
calculated formation energy = -1114 meV/atom
symmetry = P4/mmm
calculated total energy = -124.76 eV/f.u.

```
HoHf3Pt12
1.0
-2.169 3.279 0.957
-3.297 -2.307 0.430
3.589 -2.207 15.692
Ho Pt Hf
1 12 3
Cartesian
0.000 0.000 0.000
-1.821 -0.075 4.681
0.268 0.808 6.393
-0.056 -1.160 12.397
0.588 -2.528 9.992
2.034 -0.278 14.111
1.152 0.264 10.256
-2.733 0.486 0.694
-0.614 1.350 2.537
1.470 -3.070 13.848
-1.177 -1.443 2.274
-0.938 -0.617 8.539
-0.295 -1.985 6.129
0.899 -0.553 3.932
1.795 -1.103 7.846
2.690 -1.654 11.760
```

Record 6
Below is a geometry-optimized KSnCl2 structure, with properties calculated at the PBE level.

Calculated values
formation energy without anion corrections = -0.825 eV per atom
symmetry = R-3m
energy relative to the lowest polymorph listed for this composition = 0.290 eV/atom
calculated total energy = -12.09 eV/f.u.

```
KSnCl2
1.0
4.788 0.000 0.000
2.394 4.146 0.000
2.394 1.382 8.288
Sn Cl K
1 2 1
Cartesian
4.788 2.764 4.144
2.394 1.382 5.344
7.181 4.146 2.944
0.000 0.000 0.000
```

Record 7
Below is a geometry-optimized Ac2HgGe structure, with properties calculated at the PBE level.

Calculated values
calculated formation energy = -525 meV/atom
symmetry = R3m
energy relative to the lowest polymorph listed for this composition = 0.039 eV/atom
calculated total energy = -15.24 eV/f.u.

```
Ac2HgGe
1.0
-0.636 1.467 -4.313
1.805 -2.350 -3.519
-6.208 -4.617 -3.107
Ac Hg Ge
2 1 1
Cartesian
-4.753 -3.663 -2.998
-1.048 -1.236 -2.719
-2.505 -2.740 -5.468
0.745 -0.610 -5.223
```

Record 8
Below is a geometry-optimized BAsC2 structure, with properties calculated at the PBE level.

Calculated values
calculated formation energy = 589 meV/atom
symmetry = P1
energy relative to the lowest polymorph listed for this composition = 0.191 eV/atom
calculated total energy = -27.42 eV/f.u.

```
BAsC2
1.0
-1.392 -1.277 -2.226
4.416 0.321 -1.093
-0.301 -4.345 2.680
B C As
1 2 1
Cartesian
1.948 -3.599 1.293
1.297 -2.467 -0.863
1.281 -3.685 -0.156
1.758 -0.799 -0.194
```

Record 9
Below is a geometry-optimized CsLaSeI structure, with properties calculated at the PBE level.

Calculated values
formation energy without anion corrections = -1.469 eV per atom
symmetry = R3m
calculated total energy = -16.69 eV/f.u.

```
CsLaSeI
1.0
-0.206 -2.083 3.956
3.525 -0.641 -2.682
3.225 8.630 2.175
I Cs Se La
1 1 1 1
Cartesian
2.135 0.578 3.424
2.515 4.518 2.986
4.861 6.816 1.787
3.611 -0.127 -1.931
```

Record 10
Below is a geometry-optimized Mg3Zn8Ir structure, with properties calculated at the PBE level.

Calculated values
calculated formation energy = -136 meV/atom
symmetry = R3m
energy relative to the lowest polymorph listed for this composition = 0.000 eV/atom
calculated total energy = -25.46 eV/f.u.

```
Mg3Zn8Ir
1.0
5.086 0.000 0.000
2.543 4.405 0.000
2.543 1.468 8.327
Zn Mg Ir
8 3 1
Cartesian
7.629 4.405 7.788
2.543 1.468 3.631
6.373 5.130 5.651
7.629 2.954 5.651
3.816 2.203 1.609
8.885 5.130 5.651
6.356 2.203 1.609
5.086 4.403 1.609
5.086 2.936 7.280
7.629 4.405 0.212
5.086 2.936 4.039
7.629 4.405 3.145
```

Record 11
Below is a geometry-optimized Ce2GdZn structure, with properties calculated at the PBE level.

Calculated values
calculated formation energy = 314 meV/atom
symmetry = R-3m
energy relative to the lowest polymorph listed for this composition = 0.323 eV/atom
calculated total energy = -25.97 eV/f.u.

```
Ce2GdZn
1.0
-2.911 -1.426 0.422
-0.226 -3.260 0.083
0.597 -1.372 12.148
Ce Gd Zn
2 1 1
Cartesian
0.175 -1.421 9.073
-2.716 -4.637 3.579
-1.270 -3.029 6.326
0.000 0.000 0.000
```

Record 12
Below is a geometry-optimized GdTh structure, with properties calculated at the PBE level.

Calculated values
calculated formation energy = 32 meV/atom
symmetry = P4/nmm
energy relative to the lowest polymorph listed for this composition = 0.000 eV/atom
calculated total energy = -21.44 eV/f.u.

```
GdTh
1.0
3.584 0.000 0.000
0.000 3.580 0.173
0.000 -0.489 10.098
Gd Th
2 2
Cartesian
0.896 0.829 1.407
2.688 2.262 8.864
0.896 0.591 6.304
2.688 2.500 3.967
```

Record 13
Below is a geometry-optimized B2Pd2Pt structure, with properties calculated at the PBE level.

Calculated values
calculated formation energy = 21 meV/atom
symmetry = P4/mbm
calculated total energy = -29.68 eV/f.u.

```
B2Pd2Pt
1.0
-4.121 -3.932 0.194
1.827 -1.661 5.136
-2.191 2.373 1.547
Pd B Pt
4 4 2
Cartesian
-2.148 -0.394 1.708
-2.338 -2.825 5.169
-3.914 -2.628 2.632
-0.571 -0.592 4.245
0.022 -3.004 4.639
0.250 -1.084 2.017
-2.316 -2.589 0.691
-2.544 -4.509 3.313
-1.147 -2.796 2.665
0.000 0.000 0.000
```

Record 14
Below is a geometry-optimized Pm2Dy5Ho structure, with properties calculated at the PBE level.

Calculated values
calculated formation energy = 16 meV/atom
symmetry = P-1
calculated total energy = -36.96 eV/f.u.

```
Pm2Dy5Ho
1.0
6.029 -1.056 0.827
-5.333 10.429 -1.597
1.740 -0.729 9.236
Pm Dy Ho
4 10 2
Cartesian
-3.807 8.060 -0.363
2.481 4.466 2.976
6.244 0.585 8.829
-0.044 4.179 5.490
-0.301 6.720 2.992
3.470 2.836 8.836
-0.564 9.231 0.499
5.514 -0.304 5.446
2.737 1.925 5.474
-3.078 8.949 3.020
-1.034 5.808 -0.370
3.000 -0.587 7.967
0.449 7.606 6.354
1.988 1.039 2.112
-0.778 3.274 2.129
3.215 5.371 6.337
```

Record 15
Below is a geometry-optimized Rb4Sm3SbO8 structure, with properties calculated at the PBE level.

Calculated values
formation energy without anion corrections = -2.258 eV per atom
symmetry = R-3m
calculated total energy = -97.94 eV/f.u.

```
Rb4Sm3SbO8
1.0
7.204 0.000 0.000
0.000 7.777 0.392
-3.602 -3.594 5.099
O Rb Sm Sb
8 4 3 1
Cartesian
3.602 3.651 2.572
-1.795 1.869 5.129
3.602 0.523 2.904
1.795 1.869 5.129
5.397 2.314 0.362
0.000 0.532 2.919
0.000 3.660 2.588
1.806 2.314 0.362
3.602 0.000 0.000
0.000 0.000 0.000
1.801 -1.797 2.550
-1.801 -1.797 2.550
1.801 2.092 2.746
-1.801 2.092 2.746
3.602 3.889 0.196
0.000 3.889 0.196
```

Record 16
Below is a geometry-optimized NiHg2Br structure, with properties calculated at the PBE level.

Calculated values
formation energy without anion corrections = 0.453 eV per atom
symmetry = P4/mmm
energy relative to the lowest polymorph listed for this composition = 0.406 eV/atom
calculated total energy = -6.25 eV/f.u.

```
NiHg2Br
1.0
-0.757 -2.287 4.488
-0.794 -4.428 -2.390
3.251 -0.690 0.197
Ni Hg Br
1 2 1
Cartesian
1.247 -1.488 2.342
0.000 0.000 0.000
-0.776 -3.357 1.049
1.228 -2.559 -1.097
```

Record 17
Below is a geometry-optimized CsRbYH2 structure, with properties calculated at the PBE level.

Calculated values
symmetry = P4/mmm
calculated total energy = -12.31 eV/f.u.

```
CsRbYH2
1.0
4.730 0.000 0.000
0.000 7.237 0.000
0.000 0.000 4.730
Rb Y H Cs
1 1 2 1
Cartesian
2.365 3.618 2.365
0.000 0.000 0.000
0.000 0.000 2.365
2.365 0.000 0.000
0.000 3.618 0.000
```

Record 18
Below is a geometry-optimized Ac2PmEr structure, with properties calculated at the PBE level.

Calculated values
calculated formation energy = 104 meV/atom
symmetry = Fm-3m
energy relative to the lowest polymorph listed for this composition = 0.063 eV/atom
calculated total energy = -17.11 eV/f.u.

```
Ac2PmEr
1.0
6.016 0.000 0.000
3.008 5.210 0.000
3.008 1.737 4.912
Er Ac Pm
1 2 1
Cartesian
6.016 3.473 2.456
3.008 1.737 1.228
9.023 5.210 3.684
0.000 0.000 0.000
```

Record 19
Below is a geometry-optimized SrTaFe structure, with properties calculated at the PBE level.

Calculated values
calculated formation energy = 744 meV/atom
symmetry = P3m1
energy relative to the lowest polymorph listed for this composition = 0.265 eV/atom
calculated total energy = -19.77 eV/f.u.

```
SrTaFe
1.0
-1.437 -2.303 -2.079
2.891 1.573 -0.929
3.648 -4.954 2.965
Fe Ta Sr
1 1 1
Cartesian
3.463 -4.702 2.814
4.198 -3.453 0.923
1.089 -2.483 -0.815
```

Record 20
Below is a geometry-optimized Ca2FeW structure, with properties calculated at the PBE level.

Calculated values
calculated formation energy = 1400 meV/atom
symmetry = Fm-3m
energy relative to the lowest polymorph listed for this composition = 0.977 eV/atom
calculated total energy = -19.82 eV/f.u.

```
Ca2FeW
1.0
0.000 3.514 3.514
3.514 0.000 3.514
3.514 3.514 0.000
W Ca Fe
1 2 1
Cartesian
3.514 3.514 3.514
5.271 5.271 5.271
1.757 1.757 1.757
0.000 0.000 0.000
```

Record 21
Below is a geometry-optimized Ba2TmPbSe5 structure, with properties calculated at the PBE level.

Calculated values
formation energy without anion corrections = -1.509 eV per atom
symmetry = Cmc2_1
calculated total energy = -43.03 eV/f.u.

```
Ba2TmPbSe5
1.0
-0.884 4.269 0.465
-7.842 -3.400 -4.370
-5.687 -2.501 12.152
Pb Tm Ba Se
2 2 4 10
Cartesian
-6.416 -0.331 11.517
-10.292 -2.309 1.632
-8.171 0.110 4.128
-3.596 -0.577 -1.537
-4.108 -1.132 2.581
-10.977 -0.795 7.101
-7.880 0.699 -0.728
-5.780 -1.999 7.364
-8.436 -2.352 5.558
-11.055 -0.427 3.573
-1.384 -0.336 0.454
-12.404 -3.132 5.167
-2.099 1.461 3.271
-4.859 1.212 0.301
-5.610 0.531 5.130
-11.634 -3.407 9.165
-7.397 -1.746 1.966
-8.467 -0.524 9.381
```

Record 22
Below is a geometry-optimized Ag3As2O8 structure, with properties calculated at the PBE level.

Calculated values
formation energy without anion corrections = -0.594 eV per atom
symmetry = R3
calculated total energy = -65.24 eV/f.u.

```
Ag3As2O8
1.0
-4.149 -2.325 -3.664
-1.669 -4.299 3.845
-4.526 3.183 2.331
Ag As O
3 2 8
Cartesian
-5.041 -3.184 4.107
-6.107 -3.745 -1.049
-7.057 0.872 1.364
-0.142 -0.047 0.034
-5.041 -1.677 1.224
-3.331 -1.108 0.809
-8.945 -2.976 2.172
-3.025 -3.183 3.352
-4.495 -2.594 -1.894
-5.241 -1.373 2.901
-5.042 1.598 1.593
-6.095 -0.741 0.247
-5.084 -3.348 0.840
```

Record 23
Below is a geometry-optimized Be2ZnOs structure, with properties calculated at the PBE level.

Calculated values
calculated formation energy = 216 meV/atom
symmetry = F-43m
calculated total energy = -19.09 eV/f.u.

```
Be2ZnOs
1.0
-2.649 1.735 2.493
-3.932 -0.808 -0.358
-1.868 -2.207 2.808
Zn Be Os
1 2 1
Cartesian
-6.337 -0.960 3.707
0.000 0.000 0.000
-2.112 -0.320 1.236
-4.224 -0.640 2.472
```